# 1
VASP calculation (PBE) on CaHfGe2B after structural relaxation.

POSCAR file:
```
CaHfGe2B
1.0
4.637 0.000 0.000
0.000 4.637 0.000
0.000 0.000 4.530
Ca Hf Ge B
1 1 2 1
Direct
0.000 0.000 0.000 Ca
0.500 0.500 0.000 Hf
0.000 0.500 0.500 Ge
0.500 0.000 0.500 Ge
0.500 0.500 0.500 B
```

Output
ΔE_f = 0.2593 eV/atom

=====

# 2
VASP calculation (PBE) on CaLaGeB2 after structural relaxation.

POSCAR file:
```
CaLaGeB2
1.0
4.493 0.000 0.000
0.000 4.493 0.000
0.000 0.000 5.339
Ca La Ge B
1 1 1 2
Direct
0.000 0.000 0.000 Ca
0.500 0.500 0.000 La
0.500 0.500 0.500 Ge
0.000 0.500 0.500 B
0.500 0.000 0.500 B
```

Output
ΔE_f = 1.1216 eV/atom

=====

# 3
VASP calculation (PBE) on CaGeB2O after structural relaxation.

POSCAR file:
```
CaGeB2O
1.0
3.788 0.000 0.000
0.000 3.788 0.000
0.000 0.000 6.675
Ca Ge B O
1 1 2 1
Direct
0.000 0.000 0.000 Ca
0.000 0.000 0.500 Ge
0.000 0.500 0.500 B
0.500 0.000 0.500 B
0.500 0.500 0.000 O
```

Output
formation energy without anion corrections = 0.62 eV per atom

=====

# 4
VASP calculation (PBE) on CaGe3B4O12 after structural relaxation.

POSCAR file:
```
CaGe3B4O12
1.0
4.826 2.787 2.617
-4.826 2.787 2.617
0.000 -5.573 2.617
Ca Ge B O
1 3 4 12
Direct
0.000 0.000 0.000 Ca
0.000 0.544 0.456 Ge
0.456 0.000 0.544 Ge
0.544 0.456 0.000 Ge
0.050 0.500 0.950 B
0.500 0.500 0.500 B
0.500 0.950 0.050 B
0.950 0.050 0.500 B
0.022 0.625 0.792 O
0.096 0.904 0.500 O
0.208 0.375 0.978 O
0.356 0.644 0.500 O
0.375 0.978 0.208 O
0.500 0.096 0.904 O
0.500 0.356 0.644 O
0.625 0.792 0.022 O
0.644 0.500 0.356 O
0.792 0.022 0.625 O
0.904 0.500 0.096 O
0.978 0.208 0.375 O
```

Output
formation energy without anion corrections = -1.99 eV per atom

=====

# 5
VASP calculation (PBE) on Ca2GeBPd6 after structural relaxation.

POSCAR file:
```
Ca2GeBPd6
1.0
5.030 -2.899 0.000
5.030 2.899 0.000
-3.387 0.000 6.205
Ca Ge B Pd
2 1 1 6
Direct
0.219 0.219 0.162 Ca
0.781 0.781 0.838 Ca
0.500 0.500 0.000 Ge
0.000 0.000 0.500 B
0.236 0.236 0.684 Pd
0.238 0.720 0.689 Pd
0.280 0.762 0.311 Pd
0.720 0.238 0.689 Pd
0.762 0.280 0.311 Pd
0.764 0.764 0.316 Pd
```

Output
ΔE_f = -0.6233 eV/atom

=====

# 6
VASP calculation (PBE) on Ca2GeB2Pt5 after structural relaxation.

POSCAR file:
```
Ca2GeB2Pt5
1.0
9.769 0.000 0.000
0.000 9.769 0.000
0.000 0.000 3.236
Ca Ge B Pt
4 2 4 10
Direct
0.179 0.321 0.000 Ca
0.321 0.821 0.000 Ca
0.679 0.179 0.000 Ca
0.821 0.679 0.000 Ca
0.000 0.000 0.000 Ge
0.500 0.500 0.000 Ge
0.121 0.621 0.000 B
0.379 0.121 0.000 B
0.621 0.879 0.000 B
0.879 0.379 0.000 B
0.000 0.500 0.500 Pt
0.065 0.778 0.500 Pt
0.222 0.065 0.500 Pt
0.278 0.565 0.500 Pt
0.435 0.278 0.500 Pt
0.500 0.000 0.500 Pt
0.565 0.722 0.500 Pt
0.722 0.435 0.500 Pt
0.778 0.935 0.500 Pt
0.935 0.222 0.500 Pt
```

Output
ΔE_f = -0.5706 eV/atom

=====

# 7
VASP calculation (PBE) on RbCaGeB2 after structural relaxation.

POSCAR file:
```
RbCaGeB2
1.0
4.384 0.000 0.000
0.000 4.384 0.000
0.000 0.000 5.559
Rb Ca Ge B
1 1 1 2
Direct
0.000 0.000 0.000 Rb
0.500 0.500 0.000 Ca
0.000 0.000 0.500 Ge
0.000 0.500 0.500 B
0.500 0.000 0.500 B
```

Output
ΔE_f = 1.4391 eV/atom

=====

# 8
VASP calculation (PBE) on CaGeBRh3 after structural relaxation.

POSCAR file:
```
CaGeBRh3
1.0
2.874 -6.112 0.000
2.874 6.112 0.000
0.000 0.000 5.757
Ca Ge B Rh
2 2 2 6
Direct
0.247 0.753 0.750 Ca
0.753 0.247 0.250 Ca
0.123 0.877 0.250 Ge
0.877 0.123 0.750 Ge
0.483 0.517 0.250 B
0.517 0.483 0.750 B
0.248 0.248 0.000 Rh
0.248 0.248 0.500 Rh
0.316 0.684 0.250 Rh
0.684 0.316 0.750 Rh
0.752 0.752 0.000 Rh
0.752 0.752 0.500 Rh
```

Output
ΔE_f = -0.5231 eV/atom

=====

# 9
VASP calculation (PBE) on Ca2GeB2Rh5 after structural relaxation.

POSCAR file:
```
Ca2GeB2Rh5
1.0
9.698 0.000 0.000
0.000 9.698 0.000
0.000 0.000 2.997
Ca Ge B Rh
4 2 4 10
Direct
0.176 0.324 0.000 Ca
0.324 0.824 0.000 Ca
0.676 0.176 0.000 Ca
0.824 0.676 0.000 Ca
0.000 0.000 0.000 Ge
0.500 0.500 0.000 Ge
0.122 0.622 0.000 B
0.378 0.122 0.000 B
0.622 0.878 0.000 B
0.878 0.378 0.000 B
0.000 0.500 0.500 Rh
0.069 0.783 0.500 Rh
0.217 0.069 0.500 Rh
0.283 0.569 0.500 Rh
0.431 0.283 0.500 Rh
0.500 0.000 0.500 Rh
0.569 0.717 0.500 Rh
0.717 0.431 0.500 Rh
0.783 0.931 0.500 Rh
0.931 0.217 0.500 Rh
```

Output
ΔE_f = -0.6168 eV/atom

=====

# 10
VASP calculation (PBE) on Ca2GeB2Ru5 after structural relaxation.

POSCAR file:
```
Ca2GeB2Ru5
1.0
9.668 0.000 0.000
0.000 9.668 0.000
0.000 0.000 3.014
Ca Ge B Ru
4 2 4 10
Direct
0.177 0.323 0.000 Ca
0.323 0.823 0.000 Ca
0.677 0.177 0.000 Ca
0.823 0.677 0.000 Ca
0.000 0.000 0.000 Ge
0.500 0.500 0.000 Ge
0.123 0.623 0.000 B
0.377 0.123 0.000 B
0.623 0.877 0.000 B
0.877 0.377 0.000 B
0.000 0.500 0.500 Ru
0.066 0.783 0.500 Ru
0.217 0.066 0.500 Ru
0.283 0.566 0.500 Ru
0.434 0.283 0.500 Ru
0.500 0.000 0.500 Ru
0.566 0.717 0.500 Ru
0.717 0.434 0.500 Ru
0.783 0.934 0.500 Ru
0.934 0.217 0.500 Ru
```

Output
ΔE_f = -0.1803 eV/atom

=====

# 11
VASP calculation (PBE) on CaGeB2Ru after structural relaxation.

POSCAR file:
```
CaGeB2Ru
1.0
4.255 0.000 0.000
0.000 4.255 0.000
0.000 0.000 4.772
Ca Ge B Ru
1 1 2 1
Direct
0.000 0.000 0.000 Ca
0.500 0.500 0.500 Ge
0.000 0.500 0.500 B
0.500 0.000 0.500 B
0.500 0.500 0.000 Ru
```

Output
ΔE_f = 1.1455 eV/atom

=====

# 12
VASP calculation (PBE) on CaGe2BS6 after structural relaxation.

POSCAR file:
```
CaGe2BS6
1.0
6.620 -5.627 0.000
6.620 5.627 0.000
-3.258 0.000 6.418
Ca Ge B S
2 4 2 12
Direct
0.163 0.837 0.750 Ca
0.837 0.163 0.250 Ca
0.206 0.374 0.894 Ge
0.374 0.206 0.394 Ge
0.626 0.794 0.606 Ge
0.794 0.626 0.106 Ge
0.163 0.837 0.250 B
0.837 0.163 0.750 B
0.026 0.160 0.665 S
0.135 0.659 0.990 S
0.160 0.026 0.165 S
0.290 0.416 0.640 S
0.341 0.865 0.510 S
0.416 0.290 0.140 S
0.584 0.710 0.860 S
0.659 0.135 0.490 S
0.710 0.584 0.360 S
0.840 0.974 0.835 S
0.865 0.341 0.010 S
0.974 0.840 0.335 S
```

Output
formation energy without anion corrections = -0.51 eV per atom

=====

- What is the formula in the tenth record?
  Ca2GeB2Ru5